No. 1
First-principles (GGA-PBE) data for a relaxed structure of Ni2TeMo, as listed in the Alexandria database.

As for the total energy: -96.2 eV/cell. As for the uncorrected formation energy: 0.3736 eV per atom. The density of states at the Fermi level comes out at 7.122 states/eV/cell. The calculation puts the spin magnetization at 0.0 μB per formula unit.

The space group is I-42d (No. 122) and the conventional cell measures 6.888, 6.888 and 5.323 Å, with angles of 90.00, 90.00 and 90.00 degrees. The inequivalent atoms are Ni at (0.248, 0.750, 0.125), Te at (0.000, 0.000, 0.000) and Mo at (0.000, 0.000, 0.500).

***

No. 2
First-principles (GGA-PBE) data for a relaxed structure of Cd2MoCl, as listed in the Alexandria database.

As for the total energy: -27.5 eV/cell. As for the uncorrected formation energy: 0.1880 eV per atom. The energy above the most stable polymorph in this dataset is 54 meV/atom. The density of states at the Fermi level comes out at 4.284 states/eV/cell. The calculation puts the spin magnetization at 0.0 μB per formula unit.

The space group is Cmmm (No. 65) and the conventional cell measures 3.785, 4.759 and 8.703 Å, with angles of 90.00, 90.00 and 90.00 degrees. The inequivalent atoms are Cd at (0.000, 0.000, 0.245), Mo at (0.000, 0.500, 0.000) and Cl at (0.000, 0.500, 0.500).

***

No. 3
First-principles (GGA-PBE) data for a relaxed structure of CsAlGa, as listed in the Alexandria database.

As for the total energy: -15.5 eV/cell. The calculated formation energy comes out at -0.0481 eV per atom. The energy above the most stable polymorph in this dataset is 0 meV/atom. The density of states at the Fermi level comes out at 1.603 states/eV/cell. The calculation puts the spin magnetization at 0.0 μB per formula unit.

The space group is P2_1/m (No. 11) and the conventional cell measures 4.640, 4.402 and 11.557 Å, with angles of 90.00, 92.14 and 90.00 degrees. The inequivalent atoms are Cs at (0.233, 0.250, 0.289), Al at (0.183, 0.750, 0.006) and Ga at (0.318, 0.250, 0.881).

***

No. 4
First-principles (GGA-PBE) data for a relaxed structure of NaHfIr3, as listed in the Alexandria database.

As for the total energy: -32.0 eV/cell. The calculated formation energy comes out at 1.1715 eV per atom. The energy above the most stable polymorph in this dataset is 0 meV/atom. The density of states at the Fermi level comes out at 6.419 states/eV/cell. The calculation puts the spin magnetization at 0.9 μB per formula unit.

The space group is Pm-3m (No. 221) and the conventional cell measures 4.898, 4.898 and 4.898 Å, with angles of 90.00, 90.00 and 90.00 degrees. The inequivalent atoms are Na at (0.000, 0.000, 0.000), Hf at (0.500, 0.500, 0.500) and Ir at (0.000, 0.500, 0.500).

***

Copy entry 4 word for word.
First-principles (GGA-PBE) data for a relaxed structure of NaHfIr3, as listed in the Alexandria database.

As for the total energy: -32.0 eV/cell. The calculated formation energy comes out at 1.1715 eV per atom. The energy above the most stable polymorph in this dataset is 0 meV/atom. The density of states at the Fermi level comes out at 6.419 states/eV/cell. The calculation puts the spin magnetization at 0.9 μB per formula unit.

The space group is Pm-3m (No. 221) and the conventional cell measures 4.898, 4.898 and 4.898 Å, with angles of 90.00, 90.00 and 90.00 degrees. The inequivalent atoms are Na at (0.000, 0.000, 0.000), Hf at (0.500, 0.500, 0.500) and Ir at (0.000, 0.500, 0.500).

***

> The highest spin magnetization belongs to which entry?

NaHfIr3